(1)
The following is a PBE calculation of BaScTc after structural relaxation, from Alexandria via LeMat-Bulk.

Cell lengths 3.488, 3.488, 7.735 Å; angles 90.00, 90.00, 120.00 degrees
Positions (direct):
Tc  0.333  0.667  0.637
Ba  0.000  0.000  0.950
Sc  0.667  0.333  0.413

Computed properties:
Total DFT energy (no corrections): -5.62 eV per atom
Fermi-level density of states: 0.928 states/eV/atom
Crystal system: trigonal
Spin magnetization: 0.000 μB/atom

***

(2)
The following is a PBE calculation of AcSiNi3 after structural relaxation, from Alexandria via LeMat-Bulk.

Cell lengths 5.824, 5.824, 11.614 Å; angles 90.00, 90.00, 120.00 degrees
Positions (direct):
Si  0.333  0.667  0.639
Ni  0.721  0.861  0.750
Ni  0.279  0.139  0.250
Ac  0.000  0.000  0.500
Ni  0.139  0.861  0.750
Ni  0.000  0.500  0.500
Si  0.667  0.333  0.361
Si  0.667  0.333  0.139
Si  0.333  0.667  0.861
Ni  0.500  0.000  0.000
Ac  0.000  0.000  0.000
Ac  0.333  0.667  0.250
Ni  0.500  0.000  0.500
Ni  0.861  0.139  0.250
Ni  0.000  0.500  0.000
Ac  0.667  0.333  0.750
Ni  0.500  0.500  0.500
Ni  0.861  0.721  0.250
Ni  0.139  0.279  0.750
Ni  0.500  0.500  0.000

Computed properties:
Fermi-level density of states: 0.228 states/eV/atom
Crystal system: hexagonal
Spin magnetization: 0.000 μB/atom
Formation energy from raw total energies: -350 meV/atom

***

(3)
The following is a PBE calculation of SiTeAsSe2 after structural relaxation, from Alexandria via LeMat-Bulk.

Cell lengths 4.811, 4.811, 4.952 Å; angles 90.00, 90.00, 90.00 degrees
Positions (direct):
Te  0.500  0.500  0.500
As  0.000  0.000  0.500
Se  0.500  0.000  0.000
Se  0.000  0.500  0.000
Si  0.000  0.000  0.000

Computed properties:
Fermi-level density of states: 0.701 states/eV/atom
Crystal system: tetragonal
Spin magnetization: 0.000 μB/atom
Formation energy from raw total energies: 420 meV/atom

***

(4)
The following is a PBE calculation of Dy3Tm2Ag2 after structural relaxation, from Alexandria via LeMat-Bulk.

Cell lengths 5.301, 5.303, 8.242 Å; angles 108.71, 90.00, 119.99 degrees
Positions (direct):
Dy  0.339  0.678  0.517
Tm  0.925  0.850  0.274
Ag  0.788  0.575  0.865
Dy  0.661  0.322  0.483
Tm  0.075  0.150  0.726
Ag  0.212  0.425  0.135
Dy  0.500  0.000  0.000

Computed properties:
Total DFT energy (no corrections): -4.17 eV per atom
Fermi-level density of states: 1.151 states/eV/atom
Crystal system: monoclinic
Spin magnetization: 0.000 μB/atom

***

(5)
The following is a PBE calculation of AcIn2PbSe4 after structural relaxation, from Alexandria via LeMat-Bulk.

Cell lengths 4.440, 7.704, 7.639 Å; angles 70.52, 90.00, 90.00 degrees
Positions (direct):
Se  0.500  0.256  0.743
Se  0.000  0.749  0.746
Pb  0.500  0.500  0.000
Se  0.000  0.251  0.254
In  0.000  0.000  0.000
Se  0.500  0.744  0.257
Ac  0.000  0.500  0.500
In  0.500  0.000  0.500

Computed properties:
Fermi-level density of states: 0.775 states/eV/atom
Crystal system: monoclinic
Spin magnetization: 0.000 μB/atom
Formation energy from raw total energies: -861 meV/atom

***

(6)
The following is a PBE calculation of NiHgBr after structural relaxation, from Alexandria via LeMat-Bulk.

Cell lengths 4.113, 4.113, 5.382 Å; angles 90.00, 90.00, 120.00 degrees
Each line ends with the local moment (μB).
Positions (direct):
Ni  0.667  0.333  0.500  0.26
Hg  0.667  0.333  0.000  0.02
Br  0.333  0.667  0.500  0.03

Computed properties:
Fermi-level density of states: 0.934 states/eV/atom
Crystal system: hexagonal
Spin magnetization: 0.107 μB/atom
Formation energy from raw total energies: 41 meV/atom